Computed, not measured: HfGaCoRh after structural relaxation at the PBE-GGA level of DFT.

```
HfGaCoRh
1.0
-4.366 0.268 -0.028
-2.169 -0.028 -3.798
-2.397 -3.482 -1.124
Rh Hf Ga Co
1 1 1 1
Direct
0.500 0.500 0.500
0.750 0.750 0.750
0.250 0.250 0.250
0.000 0.000 0.000
```

Results
DFT formation energy ... -0.6673 eV/atom

---

Computed, not measured: HfScGaCo after structural relaxation at the PBE-GGA level of DFT.

```
HfScGaCo
1.0
-3.190 -1.008 3.157
-1.437 -4.340 0.514
1.160 -2.376 3.764
Sc Co Hf Ga
1 1 1 1
Direct
0.250 0.250 0.250
0.000 0.000 0.000
0.750 0.750 0.750
0.500 0.500 0.500
```

Results
Relative energy among the computed polymorphs ... 65.7 meV per atom
DFT formation energy ... -0.3811 eV/atom

---

Computed, not measured: HfScGaCo after structural relaxation at the PBE-GGA level of DFT.

```
HfScGaCo
1.0
3.235 0.000 0.000
0.000 3.235 0.000
0.000 0.000 6.554
Hf Sc Ga Co
1 1 1 1
Direct
0.000 0.000 0.833
0.000 0.000 0.371
0.500 0.500 0.101
0.500 0.500 0.623
```

Results
Relative energy among the computed polymorphs ... 0.0 meV per atom
DFT formation energy ... -0.4468 eV/atom

---

Computed, not measured: Hf2Ta2Ga4Co after structural relaxation at the PBE-GGA level of DFT.

```
Hf2Ta2Ga4Co
1.0
6.105 -0.172 -0.248
-3.081 5.273 0.248
-3.081 -1.620 5.024
Hf Ta Ga Co
2 2 4 1
Direct
0.500 0.750 0.250
0.500 0.250 0.750
0.000 0.736 0.736
0.000 0.264 0.264
0.000 0.724 0.276
0.449 0.724 0.724
0.000 0.276 0.724
0.551 0.276 0.276
0.000 0.000 0.000
```

Results
DFT formation energy ... -0.0715 eV/atom